Entry 1:
The following is a DFT calculation (GGA-PBE) of crystalline Tm6MgIr at its relaxed geometry.

a = 6.670 Å, b = 6.670 Å, c = 6.493 Å
α = 103.17°, β = 103.17°, γ = 116.46°
Atoms (fractional coordinates):
Ir: 0.500 0.500 0.500
Tm: 0.907 0.510 0.746
Tm: 0.510 0.907 0.746
Tm: 0.093 0.490 0.254
Tm: 0.727 0.727 0.272
Tm: 0.490 0.093 0.254
Tm: 0.273 0.273 0.728
Mg: 0.000 0.000 0.000

Summary:
Its size of the total moment is 0.000 μB/cell. For the total energy, the calculation gives -4.712 eV per atom.



Entry 2:
The following is a DFT calculation (GGA-PBE) of crystalline Tm2MgIr at its relaxed geometry.

a = 3.498 Å, b = 3.498 Å, c = 7.522 Å
α = 90.00°, β = 90.00°, γ = 90.00°
Atoms (fractional coordinates):
Tm: 0.000 0.000 0.210
Tm: 0.000 0.000 0.790
Ir: 0.500 0.500 0.000
Mg: 0.500 0.500 0.500

Summary:
Its size of the total moment is 0.000 μB/cell. For the total energy, the calculation gives -5.394 eV per atom. The calculation puts the distance to the lowest polymorph of the same formula at 0.0 meV per atom.



Entry 3:
The following is a DFT calculation (GGA-PBE) of crystalline Tm6MgIr5 at its relaxed geometry.

a = 4.741 Å, b = 7.081 Å, c = 7.536 Å
α = 90.02°, β = 108.26°, γ = 89.99°
Atoms (fractional coordinates):
Tm: 0.828 0.254 0.656
Tm: 0.500 0.735 0.000
Tm: 0.172 0.254 0.344
Tm: 0.500 0.265 0.000
Tm: 0.828 0.746 0.656
Tm: 0.172 0.746 0.344
Ir: 0.669 0.500 0.338
Ir: 0.342 0.000 0.684
Ir: 0.658 0.000 0.316
Ir: 0.000 0.500 0.000
Ir: 0.331 0.500 0.662
Mg: 0.000 0.000 0.000

Summary:
Its size of the total moment is 0.000 μB/cell. For the total energy, the calculation gives -6.854 eV per atom.



Entry 4:
The following is a DFT calculation (GGA-PBE) of crystalline Tm5MgIr6 at its relaxed geometry.

a = 4.763 Å, b = 6.590 Å, c = 8.214 Å
α = 113.65°, β = 106.85°, γ = 90.00°
Atoms (fractional coordinates):
Tm: 0.000 0.500 0.000
Tm: 0.662 0.162 0.323
Tm: 0.338 0.838 0.677
Tm: 0.332 0.332 0.665
Tm: 0.668 0.668 0.335
Mg: 0.000 0.000 0.000
Ir: 0.500 0.750 0.000
Ir: 0.166 0.917 0.332
Ir: 0.834 0.083 0.668
Ir: 0.500 0.250 0.000
Ir: 0.166 0.415 0.332
Ir: 0.834 0.585 0.668

Summary:
Its size of the total moment is 0.000 μB/cell. For the total energy, the calculation gives -7.248 eV per atom.



Entry 5:
The following is a DFT calculation (GGA-PBE) of crystalline TmMg3Ir at its relaxed geometry.

a = 6.713 Å, b = 6.713 Å, c = 6.928 Å
α = 104.29°, β = 117.24°, γ = 105.84°
Atoms (fractional coordinates):
Tm: 0.723 0.051 0.774
Tm: 0.277 0.949 0.226
Ir: 0.606 0.753 0.358
Ir: 0.394 0.247 0.642
Mg: 0.694 0.437 0.130
Mg: 0.306 0.563 0.870
Mg: 0.121 0.892 0.648
Mg: 0.244 0.473 0.352
Mg: 0.756 0.527 0.648
Mg: 0.879 0.108 0.352

Summary:
Its size of the total moment is 0.000 μB/cell. For the total energy, the calculation gives -3.897 eV per atom.



Entry 6:
The following is a DFT calculation (GGA-PBE) of crystalline Tm3MgIr2 at its relaxed geometry.

a = 6.549 Å, b = 6.933 Å, c = 8.060 Å
α = 115.47°, β = 113.97°, γ = 90.00°
Atoms (fractional coordinates):
Tm: 0.776 0.526 0.552
Tm: 0.500 0.250 0.000
Tm: 0.224 0.474 0.448
Tm: 0.224 0.974 0.448
Tm: 0.776 0.026 0.552
Tm: 0.500 0.750 0.000
Ir: 0.846 0.138 0.276
Ir: 0.430 0.638 0.276
Ir: 0.570 0.362 0.724
Ir: 0.154 0.862 0.724
Mg: 0.000 0.000 0.000
Mg: 0.000 0.500 0.000

Summary:
Its size of the total moment is 0.000 μB/cell. For the total energy, the calculation gives -6.147 eV per atom.



Entry 7:
The following is a DFT calculation (GGA-PBE) of crystalline Tm2MgIr at its relaxed geometry.

a = 4.957 Å, b = 4.957 Å, c = 4.957 Å
α = 60.00°, β = 60.00°, γ = 60.00°
Atoms (fractional coordinates):
Mg: 0.000 0.000 0.000
Ir: 0.500 0.500 0.500
Tm: 0.750 0.750 0.750
Tm: 0.250 0.250 0.250

Summary:
Its size of the total moment is 0.000 μB/cell. For the total energy, the calculation gives -5.356 eV per atom. The calculation puts the distance to the lowest polymorph of the same formula at 38.1 meV per atom.



Entry 8:
The following is a DFT calculation (GGA-PBE) of crystalline TmMgIr at its relaxed geometry.

a = 4.587 Å, b = 4.587 Å, c = 4.587 Å
α = 60.00°, β = 60.00°, γ = 60.00°
Atoms (fractional coordinates):
Tm: 0.000 0.000 0.000
Ir: 0.250 0.250 0.250
Mg: 0.500 0.500 0.500

Summary:
Its size of the total moment is 0.000 μB/cell. For the total energy, the calculation gives -5.538 eV per atom.



Entry 9:
The following is a DFT calculation (GGA-PBE) of crystalline Tm4MgIr2 at its relaxed geometry.

a = 7.067 Å, b = 7.357 Å, c = 9.235 Å
α = 129.60°, β = 102.59°, γ = 86.15°
Atoms (fractional coordinates):
Ir: 0.679 0.489 0.811
Ir: 0.102 0.485 0.951
Ir: 0.641 0.842 0.225
Ir: 0.570 0.137 0.064
Tm: 0.831 0.454 0.118
Tm: 0.466 0.243 0.412
Tm: 0.722 0.782 0.732
Tm: 0.943 0.964 0.164
Tm: 0.395 0.614 0.263
Tm: 0.352 0.714 0.906
Tm: 0.407 0.182 0.770
Tm: 0.876 0.104 0.595
Mg: 0.154 0.127 0.969
Mg: 0.112 0.614 0.519

Summary:
Its size of the total moment is 0.000 μB/cell. For the total energy, the calculation gives -5.811 eV per atom.



Entry 10:
The following is a DFT calculation (GGA-PBE) of crystalline TmMgIr at its relaxed geometry.

a = 3.304 Å, b = 3.304 Å, c = 6.131 Å
α = 105.63°, β = 105.63°, γ = 90.00°
Atoms (fractional coordinates):
Mg: 0.314 0.314 0.627
Ir: 0.948 0.948 0.895
Tm: 0.589 0.589 0.178

Summary:
Its size of the total moment is 0.000 μB/cell. For the total energy, the calculation gives -5.492 eV per atom.



Entry 11:
The following is a DFT calculation (GGA-PBE) of crystalline TmMgZnIr at its relaxed geometry.

a = 4.700 Å, b = 4.700 Å, c = 4.700 Å
α = 60.00°, β = 60.00°, γ = 60.00°
Atoms (fractional coordinates):
Zn: 0.000 0.000 0.000
Tm: 0.750 0.750 0.750
Ir: 0.500 0.500 0.500
Mg: 0.250 0.250 0.250

Summary:
Its size of the total moment is 0.000 μB/cell. For the total energy, the calculation gives -4.510 eV per atom.



Entry 12:
The following is a DFT calculation (GGA-PBE) of crystalline Mg3UIr3 at its relaxed geometry.

a = 5.503 Å, b = 5.600 Å, c = 5.503 Å
α = 109.83°, β = 109.11°, γ = 109.83°
Site moments in Bohr magnetons follow the coordinates.
Atoms (fractional coordinates):
U: 0.000 0.503 0.000  1.48
Ir: 0.500 0.004 0.500  -0.04
Ir: 0.500 0.504 0.000  -0.04
Ir: 0.000 0.504 0.500  -0.04
Mg: 0.000 0.004 0.500  0.00
Mg: 0.500 0.504 0.500  0.00
Mg: 0.500 0.004 0.000  0.00

Summary:
Its size of the total moment is 1.488 μB/cell. For the total energy, the calculation gives -6.441 eV per atom.